Density functional theory data (PBE) for an optimized crystal structure of YAsRhBr2.

Structure (CIF):
```
data_YAsRhBr2
_cell_length_a 5.404
_cell_length_b 5.404
_cell_length_c 5.777
_cell_angle_alpha 90.00
_cell_angle_beta 90.00
_cell_angle_gamma 90.00
_symmetry_space_group_name_H-M 'P 1'
_symmetry_Int_Tables_number 1
_symmetry_space_group_name_Hall 'P 1'
loop_
_atom_site_label
_atom_site_fract_x
_atom_site_fract_y
_atom_site_fract_z
_atom_site_occupancy
Y1 0.000 0.000 0.000 1
As1 0.000 0.000 0.500 1
Rh1 0.500 0.500 0.500 1
Br1 0.000 0.500 0.000 1
Br2 0.500 0.000 0.000 1
```

Values from the calculation:
- density (g/cm3) = 4.2
- calculated total energy (eV/atom) = -4.2303

Density functional theory data (PBE) for an optimized crystal structure of Hf2FePt9.

Structure (CIF):
```
data_Hf2FePt9
_cell_length_a 4.000
_cell_length_b 4.000
_cell_length_c 11.964
_cell_angle_alpha 90.00
_cell_angle_beta 90.00
_cell_angle_gamma 90.00
_symmetry_space_group_name_H-M 'P 1'
_symmetry_Int_Tables_number 1
_symmetry_space_group_name_Hall 'P 1'
loop_
_atom_site_label
_atom_site_fract_x
_atom_site_fract_y
_atom_site_fract_z
_atom_site_occupancy
Hf1 0.000 0.000 0.172 1
Hf2 0.000 0.000 0.828 1
Fe1 0.000 0.000 0.500 1
Pt1 0.000 0.500 0.000 1
Pt2 0.000 0.500 0.338 1
Pt3 0.000 0.500 0.662 1
Pt4 0.500 0.000 0.000 1
Pt5 0.500 0.000 0.338 1
Pt6 0.500 0.000 0.662 1
Pt7 0.500 0.500 0.169 1
Pt8 0.500 0.500 0.500 1
Pt9 0.500 0.500 0.831 1
```

Values from the calculation:
- density (g/cm3) = 18.8
- ΔE_f (eV per atom) = -0.814

| no. | size of the total moment (μB per formula unit) |
| --- | --- |
| 1 | 2.36 |
| 2 | 4.81 |